Entry from the Alexandria database: a relaxed TaSiMo crystal (PBE-GGA).

Cell: 3.359 5.045 6.177 Å, 77.21 74.38 70.72°
Atoms (fractional coordinates):
Ta1 0.000 0.000 0.000
Ta2 0.429 0.432 0.705
Si1 0.440 0.802 0.320
Si2 0.720 0.566 0.991
Mo1 0.164 0.375 0.296
Mo2 0.746 0.915 0.597

## Properties
Raw formation energy   -0.3220 eV per atom
Density of states at the Fermi level   4.18 states/eV/cell
M_tot   0.00 μB/f.u.